A plane-wave DFT calculation with PBE was carried out for crystalline MgAlHg at its relaxed geometry.

Values from the calculation:
Total magnetic moment ... 0.000 μB per atom
Calculated density ... 6.82 g cm⁻³
Space group ... Imm2
Energy of formation from the pure elements ... 0.016 eV per atom
DOS at the Fermi energy ... 0.370 states/eV per atom

CIF file:
```
data_MgAlHg
_chemical_formula_sum 'Mg1 Al1 Hg1'
_space_group_name_H-M_alt 'P 1'
_space_group_IT_number 1
_cell_length_a 5.219
_cell_length_b 5.219
_cell_length_c 5.219
_cell_angle_alpha 144.39
_cell_angle_beta 131.54
_cell_angle_gamma 61.57
loop_
_space_group_symop_operation_xyz
'x,y,z'
loop_
_atom_site_label
_atom_site_fract_x
_atom_site_fract_y
_atom_site_fract_z
Mg1 0.000 0.000 0.000
Al1 0.666 0.666 0.000
Hg1 0.331 0.331 0.000
```

A plane-wave DFT calculation with PBE was carried out for crystalline PrNd3N4 at its relaxed geometry.

Values from the calculation:
Total magnetic moment ... 0.000 μB per atom
Calculated density ... 7.53 g cm⁻³
Space group ... Pm-3m
DOS at the Fermi energy ... 0.270 states/eV per atom
E_form (uncorrected) ... -1034 kJ/mol of formula units

CIF file:
```
data_PrNd3N4
_chemical_formula_sum 'Pr1 Nd3 N4'
_space_group_name_H-M_alt 'P 1'
_space_group_IT_number 1
_cell_length_a 5.179
_cell_length_b 5.179
_cell_length_c 5.179
_cell_angle_alpha 90.00
_cell_angle_beta 90.00
_cell_angle_gamma 90.00
loop_
_space_group_symop_operation_xyz
'x,y,z'
loop_
_atom_site_label
_atom_site_fract_x
_atom_site_fract_y
_atom_site_fract_z
Pr1 0.000 0.000 0.000
Nd1 0.000 0.500 0.500
Nd2 0.500 0.000 0.500
Nd3 0.500 0.500 0.000
N1 0.000 0.000 0.500
N2 0.000 0.500 0.000
N3 0.500 0.000 0.000
N4 0.500 0.500 0.500
```

A plane-wave DFT calculation with PBE was carried out for crystalline CdSn2H2 at its relaxed geometry.

Values from the calculation:
Total magnetic moment ... 0.000 μB per atom
Offset from the most stable computed form ... 0.2081 eV per atom
Calculated density ... 6.69 g cm⁻³
Space group ... I4/mmm
DOS at the Fermi energy ... 0.349 states/eV per atom

CIF file:
```
data_CdSn2H2
_chemical_formula_sum 'Cd1 Sn2 H2'
_space_group_name_H-M_alt 'P 1'
_space_group_IT_number 1
_cell_length_a 7.599
_cell_length_b 7.599
_cell_length_c 7.599
_cell_angle_alpha 153.48
_cell_angle_beta 153.48
_cell_angle_gamma 37.85
loop_
_space_group_symop_operation_xyz
'x,y,z'
loop_
_atom_site_label
_atom_site_fract_x
_atom_site_fract_y
_atom_site_fract_z
Cd1 0.000 0.000 0.000
Sn1 0.353 0.353 0.000
Sn2 0.647 0.647 0.000
H1 0.250 0.750 0.500
H2 0.750 0.250 0.500
```

A plane-wave DFT calculation with PBE was carried out for crystalline HfMgHg2 at its relaxed geometry.

Values from the calculation:
Total magnetic moment ... 0.000 μB per atom
Calculated density ... 12.02 g cm⁻³
Space group ... P4/mmm
Energy of formation from the pure elements ... -0.128 eV per atom
DOS at the Fermi energy ... 0.528 states/eV per atom

CIF file:
```
data_HfMgHg2
_chemical_formula_sum 'Hf1 Mg1 Hg2'
_space_group_name_H-M_alt 'P 1'
_space_group_IT_number 1
_cell_length_a 3.231
_cell_length_b 3.231
_cell_length_c 7.997
_cell_angle_alpha 90.00
_cell_angle_beta 90.00
_cell_angle_gamma 90.00
loop_
_space_group_symop_operation_xyz
'x,y,z'
loop_
_atom_site_label
_atom_site_fract_x
_atom_site_fract_y
_atom_site_fract_z
Hf1 0.000 0.000 0.000
Mg1 0.000 0.000 0.500
Hg1 0.500 0.500 0.255
Hg2 0.500 0.500 0.745
```

A plane-wave DFT calculation with PBE was carried out for crystalline Tm3GaO6 at its relaxed geometry.

Values from the calculation:
Total magnetic moment ... 0.000 μB per atom
Calculated density ... 8.64 g cm⁻³
Space group ... Cmc2_1
DOS at the Fermi energy ... 0.000 states/eV per atom
E_form (uncorrected) ... -3111 kJ/mol of formula units

CIF file:
```
data_Tm3GaO6
_chemical_formula_sum 'Tm6 Ga2 O12'
_space_group_name_H-M_alt 'P 1'
_space_group_IT_number 1
_cell_length_a 7.030
_cell_length_b 7.030
_cell_length_c 5.364
_cell_angle_alpha 90.00
_cell_angle_beta 90.00
_cell_angle_gamma 102.83
loop_
_space_group_symop_operation_xyz
'x,y,z'
loop_
_atom_site_label
_atom_site_fract_x
_atom_site_fract_y
_atom_site_fract_z
Tm1 0.101 0.899 0.500
Tm2 0.201 0.412 0.549
Tm3 0.412 0.201 0.049
Tm4 0.588 0.799 0.549
Tm5 0.799 0.588 0.049
Tm6 0.899 0.101 0.000
Ga1 0.306 0.694 0.079
Ga2 0.694 0.306 0.579
O1 0.075 0.606 0.262
O2 0.143 0.178 0.275
O3 0.178 0.143 0.775
O4 0.284 0.716 0.737
O5 0.394 0.925 0.262
O6 0.462 0.538 0.228
O7 0.538 0.462 0.728
O8 0.606 0.075 0.762
O9 0.716 0.284 0.237
O10 0.822 0.857 0.275
O11 0.857 0.822 0.775
O12 0.925 0.394 0.762
```